CrAg2W (PBE-GGA, relaxed); energy relative to the elements = 690.6 meV per atom; ρ = 11.77 g cm⁻³; relative energy among the computed polymorphs = 307 meV/atom
1.0
5.232 -0.009 0.000
2.537 4.576 0.000
-3.884 -2.284 2.659
Ag Cr W
2 1 1
direct
0.000 0.000 0.000
0.500 0.500 0.000
0.250 0.750 0.500
0.750 0.250 0.500